[1]
A crystal of Cr2ReSb relaxed with PBEsol. Source: Alexandria, functional SCAN.

Cell lengths 3.057, 3.057, 6.055 Å; angles 90.00, 90.00, 90.00 degrees
Fractional coordinates of all 4 atoms:
1 Cr 0.000 0.000 0.235
2 Cr 0.000 0.000 0.765
3 Re 0.500 0.500 0.000
4 Sb 0.500 0.500 0.500

Calculated values
Formation energy from raw total energies   0.357 eV/atom
Crystal system   tetragonal

---

[2]
A crystal of MoAs2Se relaxed with PBEsol. Source: Alexandria, functional SCAN.

Cell lengths 2.792, 2.792, 9.890 Å; angles 90.00, 90.00, 105.84 degrees
Fractional coordinates of all 4 atoms:
1 As 0.000 0.000 0.298
2 Se 0.500 0.500 0.000
3 Mo 0.500 0.500 0.500
4 As 0.000 0.000 0.702

Calculated values
Formation energy from raw total energies   0.220 eV/atom
Crystal system   orthorhombic

---

[3]
A crystal of YCoMo2 relaxed with PBEsol. Source: Alexandria, functional SCAN.

Cell lengths 3.162, 3.162, 6.575 Å; angles 90.00, 90.00, 90.00 degrees
Fractional coordinates of all 4 atoms:
1 Y 0.000 0.000 0.512
2 Mo 0.500 0.500 0.207
3 Mo 0.000 0.000 0.997
4 Co 0.500 0.500 0.784

Calculated values
Polymorph energy (0 for the lowest one)   0.0 kJ per mole of atoms
Crystal system   tetragonal
Calculated formation energy   0.190 eV per atom

---

Number 1: magnetic moment 0.0 Bohr magnetons per cell. Number 2: magnetic moment 0.0 Bohr magnetons per cell. Number 3: magnetic moment 1.2 Bohr magnetons per cell.